A plane-wave DFT calculation with PBE with a Hubbard U was carried out for a geometry-optimized CoAuO3 structure.

Uncorrected energy (eV per formula unit): -22.206
Crystal system: cubic

Structure (CIF):
```
data_CoAuO3
_symmetry_space_group_name_H-M 'P m -3 m'
_symmetry_Int_Tables_number 221
_symmetry_space_group_name_Hall '-P 4 2 3'
_cell_length_a 3.7563
_cell_length_b 3.7563
_cell_length_c 3.7563
_cell_angle_alpha 90.00
_cell_angle_beta 90.00
_cell_angle_gamma 90.00
loop_
_atom_site_label
_atom_site_type_symbol
_atom_site_fract_x
_atom_site_fract_y
_atom_site_fract_z
_atom_site_occupancy
Co1 Co 0.0000 0.0000 0.0000 1
Au1 Au 0.5000 0.5000 0.5000 1
O1 O 0.0000 0.0000 0.5000 1
```

***

A plane-wave DFT calculation with PBE with a Hubbard U was carried out for a geometry-optimized CoPAuO structure.

Uncorrected energy (eV per formula unit): -18.916
Crystal system: orthorhombic

Structure (CIF):
```
data_CoPAuO
_symmetry_space_group_name_H-M 'P m c 21'
_symmetry_Int_Tables_number 26
_cell_length_a 3.3138
_cell_length_b 6.5539
_cell_length_c 5.8852
_cell_angle_alpha 90.00
_cell_angle_beta 90.00
_cell_angle_gamma 90.00
loop_
_symmetry_equiv_pos_as_xyz
'x,y,z'
'-x,-y,z+1/2'
'-x,y,z'
'x,-y,z+1/2'
loop_
_atom_site_label
_atom_site_type_symbol
_atom_site_fract_x
_atom_site_fract_y
_atom_site_fract_z
_atom_site_occupancy
Co1 Co 0.0000 0.1309 0.0000 1
P1 P 0.5000 0.3402 0.9017 1
Au1 Au 0.5000 0.3138 0.5037 1
O1 O 0.0000 0.1018 0.3169 1
```

***

- Which of these has the lowest uncorrected energy?
  CoAuO3

***

- Which value of uncorrected energy does entry 2 give?
  -18.916 eV per formula unit

***

- What is the uncorrected energy in the second record?
  -18.916 eV per formula unit

***

- Which of these has the lowest uncorrected energy?
  CoAuO3